(1)
A plane-wave DFT calculation with PBE-GGA was carried out for crystalline Sm4NiI5 at its relaxed geometry.

abc: 19.5394 4.1367 9.0055
angles: 90.00 102.76 90.00
Last column: nearest neighbours and their distance in Å.
Space group C2/m (No. 12)
Asymmetric unit:
Sm (0.9997, 0.0000, 0.2024)  2 Ni 2.76
Sm (0.1433, 0.5000, 0.0746)  1 Ni 2.73
Ni (0.0000, 0.5000, 0.0000)  6 Sm 2.73-2.76
I (0.0000, 0.5000, 0.5000)  4 Sm 3.38
I (0.1672, 0.0000, 0.3466)  3 Sm 3.16-3.24
I (0.1757, 0.0000, 0.8260)  4 Sm 3.21-3.45

Summary:
As for the total DFT energy (no corrections): -85.87 eV for the cell shown. As for the theoretical density: 6.06 Mg/m³.

=====

(2)
A plane-wave DFT calculation with PBE-GGA was carried out for crystalline CsSnTe3Au at its relaxed geometry.

abc: 4.2049 17.2160 11.9887
angles: 90.00 90.00 90.00
Last column: nearest neighbours and their distance in Å.
Space group Cmcm (No. 63)
Asymmetric unit:
Cs (0.0000, 0.2432, 0.2500)  2 Au 3.85, 8 Te 4.00-4.04, 2 Cs 4.20
Sn (0.0000, 0.5000, 0.0000)  6 Te 3.03-3.09
Te (0.0000, 0.1239, 0.5366)  1 Au 2.72, 2 Sn 3.03
Te (0.0000, 0.4570, 0.7500)  2 Au 2.86, 2 Sn 3.09
Au (0.0000, 0.0695, 0.7500)  4 Te 2.72-2.86

Summary:
As for the total DFT energy (no corrections): -78.80 eV for the cell shown. As for the theoretical density: 6.36 Mg/m³.

=====

(3)
A plane-wave DFT calculation with PBE-GGA was carried out for crystalline LuZnFeNi at its relaxed geometry.

abc: 6.2178 6.2178 6.2178
angles: 90.00 90.00 90.00
Last column: nearest neighbours and their distance in Å.
Space group F-43m (No. 216)
Asymmetric unit:
Lu (0.0000, 0.0000, 0.0000)  4 Fe 2.69, 4 Ni 2.69
Zn (0.0000, 0.0000, 0.5000)  4 Fe 2.69, 4 Ni 2.69
Fe (0.2500, 0.2500, 0.7500)  4 Zn 2.69, 4 Lu 2.69
Ni (0.2500, 0.2500, 0.2500)  4 Zn 2.69, 4 Lu 2.69

Summary:
The calculation puts the polymorph energy (0 for the lowest one) at 0 meV per atom. Its energy of formation from the pure elements is -0.054 eV per atom. As for the theoretical density: 9.81 Mg/m³.

=====

(4)
A plane-wave DFT calculation with PBE-GGA was carried out for crystalline PrMg2 at its relaxed geometry.

abc: 3.3510 17.8191 5.5835
angles: 90.00 90.00 90.00
Last column: nearest neighbours and their distance in Å.
Space group Cmcm (No. 63)
Asymmetric unit:
Pr (0.0000, 0.1079, 0.2500)  2 Pr 3.35, 10 Mg 3.38-3.52
Mg (0.0000, 0.2184, 0.7500)  8 Mg 3.32-3.44, 4 Pr 3.42-3.52
Mg (0.0000, 0.4427, 0.2500)  6 Mg 3.32-3.46, 6 Pr 3.38-3.39

Summary:
As for the total DFT energy (no corrections): -31.86 eV for the cell shown. As for the theoretical density: 3.78 Mg/m³.

=====

(5)
A plane-wave DFT calculation with PBE-GGA was carried out for crystalline Pr3ErN at its relaxed geometry.

abc: 5.1627 5.1627 5.1627
angles: 90.00 90.00 90.00
Last column: nearest neighbours and their distance in Å.
Space group Pm-3m (No. 221)
Asymmetric unit:
Pr (0.0000, 0.0000, 0.5000)  2 N 2.58
Er (0.5000, 0.5000, 0.5000)  12 Pr 3.65
N (0.0000, 0.0000, 0.0000)  6 Pr 2.58

Summary:
As for the total DFT energy (no corrections): -29.38 eV for the cell shown. As for the theoretical density: 7.29 Mg/m³.

=====

(6)
A plane-wave DFT calculation with PBE-GGA was carried out for crystalline TaBeNO at its relaxed geometry.

abc: 4.4144 7.4713 4.3505
angles: 90.00 90.00 90.00
Last column: nearest neighbours and their distance in Å.
Space group Pca2_1 (No. 29)
Asymmetric unit:
Ta (0.0000, 0.1283, 0.0000)  1 O 2.18, 5 N 2.20-2.31
Be (0.0918, 0.4092, 0.4149)  3 O 1.59-1.61
N (0.0047, 0.8192, 0.0016)  1 Be 1.80
O (0.0695, 0.4156, 0.0448)  3 Be 1.59-1.61

Summary:
The calculation puts the polymorph energy (0 for the lowest one) at 0 meV per atom. As for the theoretical density: 10.18 Mg/m³.

=====

(7)
A plane-wave DFT calculation with PBE-GGA was carried out for crystalline KZrAuSe3 at its relaxed geometry.

abc: 3.9774 15.0509 10.4499
angles: 90.00 90.00 90.00
Last column: nearest neighbours and their distance in Å.
Space group Cmcm (No. 63)
Asymmetric unit:
K (0.0000, 0.2441, 0.2500)  8 Se 3.40-3.56, 2 Au 3.59
Zr (0.0000, 0.0000, 0.0000)  6 Se 2.77-2.83
Au (0.0000, 0.4546, 0.7500)  4 Se 2.55-2.67
Se (0.0000, 0.0726, 0.7500)  2 Au 2.67, 2 Zr 2.83
Se (0.0000, 0.3745, 0.5346)  1 Au 2.55, 2 Zr 2.77

Summary:
As for the total DFT energy (no corrections): -117.63 eV for the cell shown. As for the theoretical density: 5.99 Mg/m³.

=====

(8)
A plane-wave DFT calculation with PBE-GGA was carried out for crystalline YNiB4 at its relaxed geometry.

abc: 7.5365 7.5365 8.5218
angles: 90.00 90.00 90.00
Last column: nearest neighbours and their distance in Å.
Space group I4/mmm (No. 139)
Asymmetric unit:
Y (0.0000, 0.0000, 0.2028)  16 B 2.78-2.87, 4 Ni 3.06
Y (0.0000, 0.5000, 0.2500)  16 B 2.80-2.85, 4 Ni 2.95
Ni (0.0000, 0.2286, 0.5000)  6 B 2.08-2.19
B (0.1115, 0.2755, 0.0000)  4 B 1.68-1.75
B (0.2337, 0.2337, 0.3473)  3 B 1.70-1.75

Summary:
The calculation puts the polymorph energy (0 for the lowest one) at 0 meV per atom. As for the theoretical density: 5.24 Mg/m³.

=====

(9)
A plane-wave DFT calculation with PBE-GGA was carried out for crystalline UCoAu at its relaxed geometry.

abc: 6.1805 6.1805 6.1805
angles: 90.00 90.00 90.00
Last column: nearest neighbours and their distance in Å.
Space group F-43m (No. 216)
Asymmetric unit:
U (0.0000, 0.0000, 0.0000)  4 Co 2.68
Co (0.2500, 0.2500, 0.7500)  4 U 2.68, 4 Au 2.68
Au (0.0000, 0.0000, 0.5000)  4 Co 2.68

Summary:
Its energy of formation from the pure elements is 0.190 eV per atom. As for the theoretical density: 13.90 Mg/m³.

=====

(10)
A plane-wave DFT calculation with PBE-GGA was carried out for crystalline ZrBeCuSi at its relaxed geometry.

abc: 6.0851 6.0851 6.0851
angles: 90.00 90.00 90.00
Last column: nearest neighbours and their distance in Å.
Space group F-43m (No. 216)
Asymmetric unit:
Zr (0.0000, 0.0000, 0.0000)  4 Si 2.63, 4 Be 2.63
Be (0.2500, 0.2500, 0.7500)  4 Zr 2.63, 4 Cu 2.63
Cu (0.0000, 0.0000, 0.5000)  4 Be 2.63, 4 Si 2.63
Si (0.2500, 0.2500, 0.2500)  4 Cu 2.63, 4 Zr 2.63

Summary:
The calculation puts the polymorph energy (0 for the lowest one) at 0 meV per atom. As for the theoretical density: 5.66 Mg/m³.

=====

(11)
A plane-wave DFT calculation with PBE-GGA was carried out for crystalline Li4Al2CdGa at its relaxed geometry.

abc: 4.4507 4.4507 6.3725
angles: 90.00 90.00 90.00
Last column: nearest neighbours and their distance in Å.
Space group P-4m2 (No. 115)
Asymmetric unit:
Li (0.0000, 0.0000, 0.0000)  4 Al 2.77, 4 Li 2.77
Li (0.0000, 0.5000, 0.7420)  4 Li 2.71-2.77, 2 Ga 2.71, 2 Cd 2.77
Li (0.5000, 0.5000, 0.5000)  4 Li 2.71, 4 Al 2.71
Al (0.0000, 0.5000, 0.2578)  4 Li 2.71-2.77, 2 Ga 2.71, 2 Cd 2.77
Cd (0.5000, 0.5000, 0.0000)  4 Al 2.77, 4 Li 2.77
Ga (0.0000, 0.0000, 0.5000)  4 Li 2.71, 4 Al 2.71

Summary:
As for the total DFT energy (no corrections): -21.06 eV for the cell shown. As for the theoretical density: 3.47 Mg/m³.

=====

(12)
A plane-wave DFT calculation with PBE-GGA was carried out for crystalline HoErC2I2 at its relaxed geometry.

abc: 7.2704 3.8678 11.1750
angles: 90.00 93.44 90.00
Last column: nearest neighbours and their distance in Å.
Space group Cm (No. 8)
Asymmetric unit:
Ho (0.0000, 0.0000, 0.0000)  3 C 2.32-2.59
Er (0.2088, 0.5000, 0.7574)  3 C 2.31-2.58
C (0.2763, 0.0000, 0.9061)  1 C 1.33
C (0.4328, 0.0000, 0.8497)  1 C 1.33
I (0.0310, 0.0000, 0.5702)  3 Er 3.08-3.23
I (0.1784, 0.5000, 0.1879)  3 Ho 3.08-3.24

Summary:
As for the total DFT energy (no corrections): -71.51 eV for the cell shown. As for the theoretical density: 6.46 Mg/m³.

=====

- Which of these has the lowest theoretical density?
  Li4Al2CdGa

=====

- theoretical density of number 3 (LuZnFeNi)?
  9.81 Mg/m³